Here is a relaxed Tl2InGe crystal from Alexandria. Energies are from GGA-PBE.

## Properties
ΔH_f (0 K) ... 0.17 eV/atom
Raw total energy ... -11.40 eV for the cell shown

Cell: 4.6232 4.6232 5.0701 Å, 90.00 90.00 90.00°
With the nearest neighbours (Å) after each atom.
Space group P4/mmm (No. 123)
Symmetry-distinct sites (fractional):
Tl: 0.0000 0.5000 0.0000 x2  4 Tl 3.27, 4 Ge 3.43, 4 In 3.43
In: 0.0000 0.0000 0.5000 x1  4 Ge 3.27, 8 Tl 3.43
Ge: 0.5000 0.5000 0.5000 x1  4 In 3.27, 8 Tl 3.43


Here is a relaxed TlInGe3 crystal from Alexandria. Energies are from GGA-PBE.

## Properties
Energy above the lowest structure with this stoichiometry ... 0.0 meV/atom
ΔH_f (0 K) ... 0.74 eV/atom
Raw total energy ... -15.26 eV for the cell shown

Cell: 5.3450 5.3450 5.3450 Å, 90.00 90.00 90.00°
With the nearest neighbours (Å) after each atom.
Space group Pm-3m (No. 221)
Symmetry-distinct sites (fractional):
Tl: 0.0000 0.0000 0.0000 x1  12 Ge 3.78
In: 0.5000 0.5000 0.5000 x1  6 Ge 2.67
Ge: 0.0000 0.5000 0.5000 x3  2 In 2.67


Here is a relaxed Tl2InGe2 crystal from Alexandria. Energies are from GGA-PBE.

## Properties
Energy above the lowest structure with this stoichiometry ... 115.9 meV/atom
ΔH_f (0 K) ... 0.26 eV/atom
Raw total energy ... -30.79 eV for the cell shown

Cell: 4.8325 4.8325 12.1295 Å, 90.00 90.00 90.00°
With the nearest neighbours (Å) after each atom.
Space group I4/mmm (No. 139)
Symmetry-distinct sites (fractional):
Tl: 0.0000 0.5000 0.2500 x4  4 Ge 3.01
In: 0.0000 0.0000 0.0000 x2  8 Ge 3.63, 8 Tl 3.88
Ge: 0.0000 0.0000 0.3981 x4  1 Ge 2.47


Here is a relaxed TlIn2Ge crystal from Alexandria. Energies are from GGA-PBE.

## Properties
ΔH_f (0 K) ... 0.15 eV/atom
Raw total energy ... -11.86 eV for the cell shown

Cell: 4.9863 4.9863 4.1946 Å, 90.00 90.00 90.00°
With the nearest neighbours (Å) after each atom.
Space group P4/mmm (No. 123)
Symmetry-distinct sites (fractional):
Tl: 0.0000 0.0000 0.0000 x1  8 In 3.26, 4 Ge 3.53
In: 0.0000 0.5000 0.5000 x2  4 Ge 3.26, 4 Tl 3.26, 4 In 3.53
Ge: 0.5000 0.5000 0.0000 x1  8 In 3.26, 4 Tl 3.53


Here is a relaxed Tl6In12Ge crystal from Alexandria. Energies are from GGA-PBE.

## Properties
ΔH_f (0 K) ... 0.07 eV/atom
Raw total energy ... -151.07 eV for the cell shown

Cell: 13.1377 13.1377 11.0678 Å, 90.00 90.00 120.00°
With the nearest neighbours (Å) after each atom.
Space group R-3 (No. 148, hexagonal axes)
Symmetry-distinct sites (fractional):
Tl: 0.0602 0.1699 0.2479 x18  8 In 3.35-3.56, 2 Tl 3.40, 1 Ge 3.41
In: 0.0158 0.2506 0.5237 x18  1 Ge 3.20, 5 In 3.24-3.55, 4 Tl 3.35-3.51
In: 0.0692 0.5095 0.6185 x18  5 In 3.13-3.28, 2 Tl 3.37-3.45
Ge: 0.0000 0.0000 0.5000 x3  6 In 3.20, 6 Tl 3.41


Here is a relaxed Tl2In4Ge crystal from Alexandria. Energies are from GGA-PBE.

## Properties
ΔH_f (0 K) ... 0.25 eV/atom
Raw total energy ... -37.15 eV for the cell shown

Cell: 5.3959 5.3959 15.9033 Å, 90.00 90.00 90.00°
With the nearest neighbours (Å) after each atom.
Space group I4/mmm (No. 139)
Symmetry-distinct sites (fractional):
Tl: 0.0000 0.0000 0.1247 x4  5 In 3.10-3.35
In: 0.0000 0.0000 0.3198 x4  1 Ge 2.87, 1 Tl 3.10
In: 0.0000 0.5000 0.0000 x4  2 Ge 2.70
Ge: 0.0000 0.0000 0.5000 x2  6 In 2.70-2.87